EuPuCdIn | GGA-PBE | optimized geometry

Computed properties:
- E_tot: -7.242 eV/atom
- ΔE_f: -0.177 eV per atom
- Spin magnetization: 12.80 μB per cell

Unit cell a=5.4719 b=5.4719 c=5.4719 alpha=60.00 beta=60.00 gamma=60.00
Atoms (fractional coordinates):
Eu 0.0000 0.0000 0.0000
Pu 0.5000 0.5000 0.5000
Cd 0.7500 0.7500 0.7500
In 0.2500 0.2500 0.2500